A geometry-optimized ZrSb2 structure, computed with PBE.

Properties
The density comes out at 6.77 g/cm3. The value obtained for the total energy is -5.880 eV per atom. Its space group is I4_1/amd. The total magnetization is 0.0 μB per formula unit.

a = 12.122 Å, b = 12.122 Å, c = 12.122 Å
α = 162.32°, β = 162.32°, γ = 25.10°
Sites, in units of the cell vectors:
Zr  0.375  0.625  0.750
Zr  0.625  0.375  0.250
Sb  0.060  0.810  0.250
Sb  0.190  0.940  0.250
Sb  0.810  0.060  0.750
Sb  0.940  0.190  0.750

A geometry-optimized Zr3Sb structure, computed with PBE.

Properties
The density comes out at 7.36 g/cm3. The value obtained for the total energy is -7.816 eV per atom. Its space group is Pmmn. The total magnetization is 0.0 μB per formula unit.

a = 5.162 Å, b = 6.091 Å, c = 5.676 Å
α = 90.00°, β = 90.00°, γ = 90.00°
Sites, in units of the cell vectors:
Zr  0.250  0.001  0.146
Zr  0.250  0.499  0.146
Zr  0.250  0.750  0.639
Zr  0.750  0.250  0.361
Zr  0.750  0.501  0.854
Zr  0.750  0.999  0.854
Sb  0.250  0.250  0.660
Sb  0.750  0.750  0.340

A geometry-optimized ZrSb2 structure, computed with PBE.

Properties
The density comes out at 7.94 g/cm3. The value obtained for the total energy is -6.104 eV per atom. Its space group is C2/m. The total magnetization is 0.0 μB per formula unit.

a = 3.823 Å, b = 3.823 Å, c = 5.501 Å
α = 110.36°, β = 110.36°, γ = 89.75°
Sites, in units of the cell vectors:
Zr  0.000  0.000  0.000
Sb  0.340  0.340  0.681
Sb  0.660  0.660  0.319

A geometry-optimized Zr3Sb2 structure, computed with PBE.

Properties
The density comes out at 6.85 g/cm3. As for the energy above the most stable polymorph in this dataset: 312 meV per atom. Its space group is P-3m1. The total magnetization is 0.0 μB per formula unit.

a = 4.868 Å, b = 4.868 Å, c = 6.109 Å
α = 90.00°, β = 90.00°, γ = 120.00°
Sites, in units of the cell vectors:
Zr  0.000  0.000  0.000
Zr  0.333  0.667  0.316
Zr  0.667  0.333  0.684
Sb  0.333  0.667  0.799
Sb  0.667  0.333  0.201

A geometry-optimized ZrSb3 structure, computed with PBE.

Properties
The density comes out at 7.52 g/cm3. As for the energy above the most stable polymorph in this dataset: 78 meV per atom. Its space group is P4/mmm. The total magnetization is 0.0 μB per formula unit.

a = 3.767 Å, b = 3.767 Å, c = 7.103 Å
α = 90.00°, β = 90.00°, γ = 90.00°
Sites, in units of the cell vectors:
Zr  0.000  0.000  0.000
Sb  0.000  0.000  0.500
Sb  0.500  0.500  0.213
Sb  0.500  0.500  0.787

A geometry-optimized Zr3Sb5 structure, computed with PBE.

Properties
The density comes out at 7.66 g/cm3. As for the energy above the most stable polymorph in this dataset: 95 meV per atom. Its space group is Cmmm. The total magnetization is 0.0 μB per formula unit.

a = 6.080 Å, b = 6.080 Å, c = 5.263 Å
α = 90.00°, β = 90.00°, γ = 100.38°
Sites, in units of the cell vectors:
Zr  0.000  0.000  0.000
Zr  0.276  0.724  0.500
Zr  0.724  0.276  0.500
Sb  0.000  0.500  0.000
Sb  0.204  0.204  0.500
Sb  0.500  0.000  0.000
Sb  0.500  0.500  0.000
Sb  0.796  0.796  0.500

> Which of these has the lowest density?

number 1

> What is the density in the fourth record?

6.85 g/cm3

> Among the records above, which one has the lowest density?

number 1

Repeat the first record exactly.
A geometry-optimized ZrSb2 structure, computed with PBE.

Properties
The density comes out at 6.77 g/cm3. The value obtained for the total energy is -5.880 eV per atom. Its space group is I4_1/amd. The total magnetization is 0.0 μB per formula unit.

a = 12.122 Å, b = 12.122 Å, c = 12.122 Å
α = 162.32°, β = 162.32°, γ = 25.10°
Sites, in units of the cell vectors:
Zr  0.375  0.625  0.750
Zr  0.625  0.375  0.250
Sb  0.060  0.810  0.250
Sb  0.190  0.940  0.250
Sb  0.810  0.060  0.750
Sb  0.940  0.190  0.750